(1)
First-principles (PBE) data for Tb2PmSm5Y after structural relaxation, as listed in Alexandria via LeMat-Bulk.

The density of states at the Fermi level is 1.61 states/eV/atom. Its total magnetization is 0.00 μB per cell. As for the crystal system: orthorhombic. The calculation puts the formation energy at 150 meV/atom.

The structure belongs to space group Cmc2_1 (No. 36); the cell edges are 5.668, 20.357 and 10.669 Å and the angles 90.00°, 90.00° and 90.00°. The distinct sites, in fractional coordinates, are Tb at (0.000, 0.111, 0.000), Tb at (0.000, 0.115, 0.583), Pm at (0.000, 0.201, 0.275), Sm at (0.000, 0.016, 0.287), Sm at (0.000, 0.280, 0.574), Sm at (0.000, 0.299, 0.971), Sm at (0.000, 0.391, 0.290), Sm at (0.000, 0.479, 0.006) and Y at (0.000, 0.411, 0.721).



(2)
First-principles (PBE) data for CdPt after structural relaxation, as listed in Alexandria via LeMat-Bulk.

The density of states at the Fermi level is 0.54 states/eV/atom. Its total magnetization is 0.00 μB per cell. As for the crystal system: hexagonal. The calculation puts the formation energy at -1 meV/atom.

The structure belongs to space group P6_3/mmc (No. 194); the cell edges are 4.6395, 4.6395 and 8.1391 Å and the angles 90.00°, 90.00° and 120.00°. The distinct sites, in fractional coordinates, are Cd at (0.0000, 0.0000, 0.2500), Cd at (0.3333, 0.6667, 0.2500) and Pt at (0.3333, 0.6667, 0.5829).



(3)
First-principles (PBE) data for Ce4Th2Pa after structural relaxation, as listed in Alexandria via LeMat-Bulk.

The density of states at the Fermi level is 2.63 states/eV/atom. Its total magnetization is 0.00 μB per cell. As for the crystal system: orthorhombic. The calculation puts the formation energy at 264 meV/atom.

The structure belongs to space group Fmmm (No. 69); the cell edges are 6.128, 11.131 and 11.289 Å and the angles 90.00°, 90.00° and 90.00°. The distinct sites, in fractional coordinates, are Ce at (0.250, 0.250, 0.000), Ce at (0.250, 0.250, 0.250), Th at (0.000, 0.000, 0.150) and Pa at (0.000, 0.000, 0.500).



> The highest formation energy belongs to which entry?

Ce4Th2Pa



> Which of these has the lowest formation energy?

CdPt



Repeat the third record exactly.
First-principles (PBE) data for Ce4Th2Pa after structural relaxation, as listed in Alexandria via LeMat-Bulk.

The density of states at the Fermi level is 2.63 states/eV/atom. Its total magnetization is 0.00 μB per cell. As for the crystal system: orthorhombic. The calculation puts the formation energy at 264 meV/atom.

The structure belongs to space group Fmmm (No. 69); the cell edges are 6.128, 11.131 and 11.289 Å and the angles 90.00°, 90.00° and 90.00°. The distinct sites, in fractional coordinates, are Ce at (0.250, 0.250, 0.000), Ce at (0.250, 0.250, 0.250), Th at (0.000, 0.000, 0.150) and Pa at (0.000, 0.000, 0.500).